NiSeBr2F (PBE+U, relaxed); E = -1.89 eV per atom; space-group type = P4/mmm (123)
1.0
5.648 0.000 0.000
0.000 5.648 0.000
0.000 0.000 3.856
Se Br F Ni
1 2 1 1
Cartesian
0.000 0.000 1.928 Se
2.824 0.000 0.000 Br
0.000 2.824 0.000 Br
0.000 0.000 0.000 F
2.824 2.824 1.928 Ni